Material: Cs3ErSb2O6
Method: DFT, PBE-GGA
State: relaxed

Summary:
Calculated total energy = -68.53 eV for the cell shown
Symmetry = P-3m1 (164)
Energy relative to the elements, uncorrected = -1.951 eV/atom
DOS(E_F) = 0.00 states/eV/cell
Magnetic moment = 0.0 μB/f.u.

Geometry as extended XYZ:
```
12
Lattice="-1.3897 -4.9617 3.6305 5.4203 0.1336 -3.2143 3.5803 3.5220 6.1838" Properties=species:S:1:pos:R:3 pbc="T T T"
Cs 5.5732 0.8185 3.2519
Cs 2.0378 -2.1247 3.3480
Cs 0.0000 0.0000 0.0000
Er 1.7902 1.7610 3.0919
Sb 3.6554 -0.5334 6.1420
Sb 3.9555 -0.7728 0.4580
O 4.7775 -1.9665 1.7946
O 2.8229 0.3748 1.5928
O 5.4514 0.4396 0.0340
O 4.7880 -1.6809 5.0072
O 2.8334 0.6604 4.8054
O 2.1595 -1.7457 6.5659
```

Material: Cs3ErSb2O8
Method: DFT, PBE-GGA
State: relaxed

Summary:
Calculated total energy = -81.38 eV for the cell shown
Symmetry = P-3m1 (164)
Energy relative to the elements, uncorrected = -1.882 eV/atom
DOS(E_F) = 0.00 states/eV/cell
Magnetic moment = 0.0 μB/f.u.

Geometry as extended XYZ:
```
14
Lattice="6.3092 0.0000 0.0000 -3.1546 5.4640 0.0000 0.0000 0.0000 8.6531" Properties=species:S:1:pos:R:3 pbc="T T T"
Cs 0.0000 3.6426 6.3194
Cs 3.1546 1.8213 2.3337
Cs 0.0000 0.0000 0.0000
Er 0.0000 0.0000 4.3265
Sb 0.0000 3.6426 2.3784
Sb 3.1546 1.8213 6.2746
O 0.0000 3.6426 0.5033
O 3.1546 1.8213 8.1498
O -1.5624 4.5447 3.0257
O 4.7170 0.9193 5.6273
O 0.0000 1.8386 3.0257
O 3.1546 3.6254 5.6273
O 1.5624 4.5447 3.0257
O 1.5922 0.9193 5.6273
```

Material: CsErSe2O8
Method: DFT, PBE-GGA
State: relaxed

Summary:
Calculated total energy = -70.96 eV for the cell shown
Symmetry = P-3 (147)
Energy relative to the elements, uncorrected = -1.576 eV/atom
DOS(E_F) = 0.00 states/eV/cell
Magnetic moment = 0.0 μB/f.u.

Geometry as extended XYZ:
```
12
Lattice="-2.1815 -3.5604 -3.6106 2.9557 -1.8649 4.2730 -7.6029 -0.4677 5.0549" Properties=species:S:1:pos:R:3 pbc="T T T"
Cs 0.0000 0.0000 0.0000
Er -3.8014 -0.2338 2.5274
Se -2.6599 -3.1300 0.4738
Se -4.1688 -2.7630 5.2434
O -5.5366 -2.8471 6.1528
O -2.6528 -1.9263 1.6423
O -4.0134 -2.9313 -0.4971
O -1.2921 -3.0459 -0.4356
O -2.8153 -2.9617 6.2144
O -4.1759 -3.9667 4.0749
O -4.0716 -1.2718 4.4811
O -2.7571 -4.6212 1.2361
```